[1]
Material: Dy2Si4PtRh3
Method: DFT, PBE
State: relaxed

Properties
For the formation energy without anion corrections, the calculation gives -1.06 eV per atom. The volume comes out at 16.8 Å³ per atom. As for the magnetic moment: 0.0 μB/f.u. Its energy is -6.9620 eV/atom.

Lattice parameters (Å, degrees): 4.0895 4.0895 10.0175 90.00 90.00 90.00
With the nearest neighbours (Å) after each atom.
Fractional coordinates of all 10 atoms:
Dy 0.0000 0.5000 0.2410  6 Rh 3.11-3.30, 8 Si 3.14-3.16, 2 Pt 3.30
Dy 0.5000 0.0000 0.7590  6 Rh 3.11-3.30, 8 Si 3.14-3.16, 2 Pt 3.30
Si 0.0000 0.0000 0.0000  4 Rh 2.41
Si 0.0000 0.5000 0.6377  3 Rh 2.35-2.47, 2 Pt 2.47
Si 0.5000 0.0000 0.3623  3 Rh 2.35-2.47, 2 Pt 2.47
Si 0.5000 0.5000 0.0000  4 Rh 2.41
Pt 0.0000 0.0000 0.5000  4 Si 2.47
Rh 0.0000 0.5000 0.8726  5 Si 2.35-2.41
Rh 0.5000 0.0000 0.1274  5 Si 2.35-2.41
Rh 0.5000 0.5000 0.5000  4 Si 2.47

---

[2]
Material: SmDyPtRh
Method: DFT, PBE
State: relaxed

Properties
The volume comes out at 22.4 Å³ per atom. As for the magnetic moment: 0.0 μB/f.u. Its energy is -6.6938 eV/atom. The value obtained for the energy above the lowest structure with this stoichiometry is 0.0 kJ per mole of atoms. Its formation energy from the elements is -1015 meV per atom.

Lattice parameters (Å, degrees): 4.3661 5.6752 5.6752 39.50 90.00 90.00
With the nearest neighbours (Å) after each atom.
Fractional coordinates of all 4 atoms:
Sm 0.0000 0.0000 0.0000  3 Rh 2.84-3.15, 4 Pt 2.97
Dy 0.5000 0.7185 0.7185  4 Rh 2.95, 3 Pt 2.97-3.05
Pt 0.5000 0.4404 0.4404  2 Rh 2.87, 3 Dy 2.97-3.05, 4 Sm 2.97
Rh 0.0000 0.2659 0.2659  3 Sm 2.84-3.15, 2 Pt 2.87, 4 Dy 2.95

---

[3]
Material: SmDyPtRh
Method: DFT, PBE
State: relaxed

Properties
The volume comes out at 21.4 Å³ per atom. As for the magnetic moment: 0.0 μB/f.u. Its energy is -6.6543 eV/atom. The value obtained for the energy above the lowest structure with this stoichiometry is 3.8 kJ per mole of atoms. Its formation energy from the elements is -976 meV per atom.

Lattice parameters (Å, degrees): 4.9465 4.9465 4.9465 60.00 60.00 60.00
With the nearest neighbours (Å) after each atom.
Fractional coordinates of all 4 atoms:
Sm 0.0000 0.0000 0.0000  4 Rh 3.03, 4 Pt 3.03
Dy 0.5000 0.5000 0.5000  4 Rh 3.03, 4 Pt 3.03
Pt 0.2500 0.2500 0.2500  4 Dy 3.03, 4 Sm 3.03
Rh 0.7500 0.7500 0.7500  4 Sm 3.03, 4 Dy 3.03

---

[4]
Material: SrDyPtRh
Method: DFT, PBE
State: relaxed

Properties
The volume comes out at 22.2 Å³ per atom. As for the magnetic moment: 0.0 μB/f.u. Its energy is -5.5878 eV/atom. Its formation energy from the elements is -669 meV per atom.

Lattice parameters (Å, degrees): 5.0044 5.0044 5.0044 60.00 60.00 60.00
With the nearest neighbours (Å) after each atom.
Fractional coordinates of all 4 atoms:
Sr 0.0000 0.0000 0.0000  4 Rh 3.06, 4 Pt 3.06
Dy 0.5000 0.5000 0.5000  4 Rh 3.06, 4 Pt 3.06
Pt 0.2500 0.2500 0.2500  4 Dy 3.06, 4 Sr 3.06
Rh 0.7500 0.7500 0.7500  4 Dy 3.06, 4 Sr 3.06

---

[5]
Material: TbDyPtRh
Method: DFT, PBE
State: relaxed

Properties
The volume comes out at 20.8 Å³ per atom. As for the magnetic moment: 0.0 μB/f.u. Its energy is -6.6916 eV/atom. The value obtained for the energy above the lowest structure with this stoichiometry is 2.1 kJ per mole of atoms. Its formation energy from the elements is -1035 meV per atom.

Lattice parameters (Å, degrees): 4.9038 4.9038 4.9038 60.00 60.00 60.00
With the nearest neighbours (Å) after each atom.
Fractional coordinates of all 4 atoms:
Tb 0.0000 0.0000 0.0000  4 Rh 3.00, 4 Pt 3.00
Dy 0.5000 0.5000 0.5000  4 Pt 3.00, 4 Rh 3.00
Pt 0.7500 0.7500 0.7500  4 Tb 3.00, 4 Dy 3.00
Rh 0.2500 0.2500 0.2500  4 Dy 3.00, 4 Tb 3.00

---

[6]
Material: TbDyPtRh
Method: DFT, PBE
State: relaxed

Properties
The volume comes out at 21.8 Å³ per atom. As for the magnetic moment: 0.0 μB/f.u. Its energy is -6.7136 eV/atom. The value obtained for the energy above the lowest structure with this stoichiometry is 0.0 kJ per mole of atoms. Its formation energy from the elements is -1057 meV per atom.

Lattice parameters (Å, degrees): 4.3322 5.6432 5.6432 39.28 90.00 90.00
With the nearest neighbours (Å) after each atom.
Fractional coordinates of all 4 atoms:
Tb 0.0000 0.0000 0.0000  3 Rh 2.84-3.12, 4 Pt 2.94
Dy 0.5000 0.7189 0.7189  4 Rh 2.92, 3 Pt 2.93-3.05
Pt 0.5000 0.4432 0.4432  2 Rh 2.86, 3 Dy 2.93-3.05, 4 Tb 2.94
Rh 0.0000 0.2674 0.2674  3 Tb 2.84-3.12, 2 Pt 2.86, 4 Dy 2.92

---

[7]
Material: Dy8Te4Pt3Rh
Method: DFT, PBE
State: relaxed

Properties
For the formation energy without anion corrections, the calculation gives -1.22 eV per atom. The volume comes out at 27.1 Å³ per atom. As for the magnetic moment: 0.0 μB/f.u. Its energy is -5.9023 eV/atom.

Lattice parameters (Å, degrees): 8.7117 8.7117 8.7117 56.81 56.81 56.81
With the nearest neighbours (Å) after each atom.
Fractional coordinates of all 16 atoms:
Dy 0.2366 0.2366 0.2366  3 Pt 2.84
Dy 0.2418 0.7337 0.7337  1 Rh 2.80, 2 Pt 2.85
Dy 0.2663 0.2663 0.7582  1 Rh 2.80, 2 Pt 2.85
Dy 0.2663 0.7582 0.2663  1 Rh 2.80, 2 Pt 2.85
Dy 0.7337 0.2418 0.7337  1 Rh 2.80, 2 Pt 2.85
Dy 0.7337 0.7337 0.2418  1 Rh 2.80, 2 Pt 2.85
Dy 0.7582 0.2663 0.2663  1 Rh 2.80, 2 Pt 2.85
Dy 0.7634 0.7634 0.7634  3 Pt 2.84
Te 0.0000 0.0000 0.0000  6 Dy 3.22
Te 0.0000 0.5000 0.5000  6 Dy 3.18-3.19
Te 0.5000 0.0000 0.5000  6 Dy 3.18-3.19
Te 0.5000 0.5000 0.0000  6 Dy 3.18-3.19
Pt 0.0000 0.0000 0.5000  6 Dy 2.84-2.85
Pt 0.0000 0.5000 0.0000  6 Dy 2.84-2.85
Pt 0.5000 0.0000 0.0000  6 Dy 2.84-2.85
Rh 0.5000 0.5000 0.5000  6 Dy 2.80

---

[8]
Material: DyThPtRh
Method: DFT, PBE
State: relaxed

Properties
The volume comes out at 22.3 Å³ per atom. As for the magnetic moment: 0.0 μB/f.u. Its energy is -7.2978 eV/atom. The value obtained for the energy above the lowest structure with this stoichiometry is 16.9 kJ per mole of atoms. Its formation energy from the elements is -944 meV per atom.

Lattice parameters (Å, degrees): 5.0125 5.0125 5.0125 60.00 60.00 60.00
With the nearest neighbours (Å) after each atom.
Fractional coordinates of all 4 atoms:
Dy 0.0000 0.0000 0.0000  4 Pt 3.07, 4 Rh 3.07
Th 0.5000 0.5000 0.5000  4 Rh 3.07, 4 Pt 3.07
Pt 0.2500 0.2500 0.2500  4 Th 3.07, 4 Dy 3.07
Rh 0.7500 0.7500 0.7500  4 Th 3.07, 4 Dy 3.07

---

[9]
Material: DyThPtRh
Method: DFT, PBE
State: relaxed

Properties
The volume comes out at 22.8 Å³ per atom. As for the magnetic moment: 0.0 μB/f.u. Its energy is -7.4731 eV/atom. The value obtained for the energy above the lowest structure with this stoichiometry is 0.0 kJ per mole of atoms. Its formation energy from the elements is -1120 meV per atom.

Lattice parameters (Å, degrees): 4.3375 5.8114 5.8114 38.48 90.00 90.00
With the nearest neighbours (Å) after each atom.
Fractional coordinates of all 4 atoms:
Dy 0.0000 0.0000 0.0000  3 Rh 2.89-3.23, 4 Pt 2.94
Th 0.5000 0.7257 0.7257  4 Rh 2.92, 3 Pt 3.01-3.13
Pt 0.5000 0.4511 0.4511  4 Dy 2.94, 2 Rh 2.99, 3 Th 3.01-3.13
Rh 0.0000 0.2633 0.2633  3 Dy 2.89-3.23, 4 Th 2.92, 2 Pt 2.99

---

[10]
Material: DyTiPtRh
Method: DFT, PBE
State: relaxed

Properties
The volume comes out at 18.1 Å³ per atom. As for the magnetic moment: 0.0 μB/f.u. Its energy is -7.2396 eV/atom. Its formation energy from the elements is -767 meV per atom.

Lattice parameters (Å, degrees): 4.6769 4.6769 4.6769 60.00 60.00 60.00
With the nearest neighbours (Å) after each atom.
Fractional coordinates of all 4 atoms:
Dy 0.0000 0.0000 0.0000  4 Rh 2.86, 4 Pt 2.86
Ti 0.5000 0.5000 0.5000  4 Rh 2.86, 4 Pt 2.86
Pt 0.7500 0.7500 0.7500  4 Ti 2.86, 4 Dy 2.86
Rh 0.2500 0.2500 0.2500  4 Dy 2.86, 4 Ti 2.86

---

[11]
Material: DyTmPtRh
Method: DFT, PBE
State: relaxed

Properties
The volume comes out at 21.3 Å³ per atom. As for the magnetic moment: 0.0 μB/f.u. Its energy is -6.7021 eV/atom. Its formation energy from the elements is -1086 meV per atom.

Lattice parameters (Å, degrees): 4.3219 5.5890 5.5890 39.20 90.00 90.00
With the nearest neighbours (Å) after each atom.
Fractional coordinates of all 4 atoms:
Dy 0.0000 0.0000 0.0000  3 Rh 2.80-3.09, 4 Pt 2.93
Tm 0.5000 0.7179 0.7179  3 Pt 2.91-3.01, 4 Rh 2.91
Pt 0.5000 0.4419 0.4419  2 Rh 2.84, 3 Tm 2.91-3.01, 4 Dy 2.93
Rh 0.0000 0.2663 0.2663  3 Dy 2.80-3.09, 2 Pt 2.84, 4 Tm 2.91

---

[12]
Material: DyTmPtRh
Method: DFT, PBE
State: relaxed

Properties
The volume comes out at 20.3 Å³ per atom. As for the magnetic moment: 0.0 μB/f.u. Its energy is -6.7002 eV/atom. Its formation energy from the elements is -1084 meV per atom.

Lattice parameters (Å, degrees): 4.8594 4.8594 4.8594 60.00 60.00 60.00
With the nearest neighbours (Å) after each atom.
Fractional coordinates of all 4 atoms:
Dy 0.0000 0.0000 0.0000  4 Pt 2.98, 4 Rh 2.98
Tm 0.5000 0.5000 0.5000  4 Rh 2.98, 4 Pt 2.98
Pt 0.7500 0.7500 0.7500  4 Dy 2.98, 4 Tm 2.98
Rh 0.2500 0.2500 0.2500  4 Dy 2.98, 4 Tm 2.98